The following is a DFT calculation (GGA-PBE) of crystalline NbPOsO at its relaxed geometry.

The structure in extended XYZ format:
```
8
Lattice="3.608 0.000 0.000 0.000 6.410 0.000 0.000 0.000 5.312" Properties=species:S:1:pos:R:3 pbc="T T T"
Nb 0.000 1.008 1.964
Nb 0.000 5.402 4.621
O 1.804 1.925 2.360
O 1.804 4.485 5.016
Os 1.804 2.362 0.384
Os 1.804 4.049 3.041
P 0.000 4.961 1.953
P 0.000 1.450 4.609
```

energy above the most stable polymorph in this dataset = 0.4306 eV per atom



The following is a DFT calculation (GGA-PBE) of crystalline BeFeSiAg at its relaxed geometry.

The structure in extended XYZ format:
```
4
Lattice="-3.510 0.259 2.095 -3.263 1.813 -1.687 -3.232 -2.246 -1.134" Properties=species:S:1:pos:R:3 pbc="T T T"
Ag -2.501 -0.043 -0.181
Be -5.002 -0.087 -0.363
Fe -7.504 -0.130 -0.544
Si 0.000 0.000 0.000
```

energy above the most stable polymorph in this dataset = 0.0000 eV per atom



The following is a DFT calculation (GGA-PBE) of crystalline AgPt2 at its relaxed geometry.

The structure in extended XYZ format:
```
6
Lattice="-2.650 2.650 3.747 2.650 -2.650 3.747 2.650 2.650 -3.747" Properties=species:S:1:pos:R:3 pbc="T T T"
Ag 0.000 0.000 3.747
Ag 2.650 0.000 1.873
Pt 0.000 1.325 0.937
Pt -1.325 2.650 2.810
Pt 0.000 3.975 0.937
Pt 1.325 2.650 2.810
```

DFT formation energy = 0.1 eV per formula unit
energy above the most stable polymorph in this dataset = 0.0000 eV per atom



The following is a DFT calculation (GGA-PBE) of crystalline TaBeNiAg at its relaxed geometry.

The structure in extended XYZ format:
```
4
Lattice="0.000 3.038 3.038 3.038 0.000 3.038 3.038 3.038 0.000" Properties=species:S:1:pos:R:3 pbc="T T T"
Ag 0.000 0.000 0.000
Be 4.557 4.557 4.557
Ni 3.038 3.038 3.038
Ta 1.519 1.519 1.519
```

energy above the most stable polymorph in this dataset = 0.1226 eV per atom



The following is a DFT calculation (GGA-PBE) of crystalline TlReAu3O4 at its relaxed geometry.

The structure in extended XYZ format:
```
9
Lattice="5.782 0.000 0.000 0.000 5.782 0.000 0.000 0.000 5.782" Properties=species:S:1:pos:R:3 pbc="T T T"
Au 2.891 2.891 0.000
Au 2.891 0.000 2.891
Au 0.000 2.891 2.891
O 1.792 1.792 1.792
O 3.990 3.990 1.792
O 3.990 1.792 3.990
O 1.792 3.990 3.990
Re 2.891 2.891 2.891
Tl 0.000 0.000 0.000
```

VASP energy = -4.898 eV/atom



The following is a DFT calculation (GGA-PBE) of crystalline ZrTl2Os at its relaxed geometry.

The structure in extended XYZ format:
```
4
Lattice="0.000 3.461 3.461 3.461 0.000 3.461 3.461 3.461 0.000" Properties=species:S:1:pos:R:3 pbc="T T T"
Os 1.731 1.731 1.731
Tl 0.000 0.000 0.000
Tl 5.192 5.192 5.192
Zr 3.461 3.461 3.461
```

VASP energy = -5.608 eV/atom



The following is a DFT calculation (GGA-PBE) of crystalline CsPrCoTe3 at its relaxed geometry.

The structure in extended XYZ format:
```
24
Lattice="12.676 0.000 0.000 0.000 4.653 0.000 0.000 0.000 14.003" Properties=species:S:1:pos:R:3 pbc="T T T"
Co 9.416 0.000 2.828
Co 3.078 0.000 4.173
Co 9.598 2.326 9.830
Co 3.260 2.326 11.175
Cs 2.185 0.000 0.100
Cs 8.523 0.000 6.901
Cs 4.153 2.326 7.102
Cs 10.491 2.326 13.903
Pr 5.999 2.326 2.351
Pr 12.337 2.326 4.650
Pr 0.339 0.000 9.353
Pr 6.677 0.000 11.652
Te 7.698 0.000 0.851
Te 11.954 0.000 2.499
Te 2.704 2.326 3.119
Te 9.042 2.326 3.882
Te 5.616 0.000 4.502
Te 1.360 0.000 6.150
Te 11.316 2.326 7.853
Te 7.060 2.326 9.501
Te 3.634 0.000 10.121
Te 9.972 0.000 10.884
Te 0.722 2.326 11.504
Te 4.978 2.326 13.152
```

energy above the most stable polymorph in this dataset = 0.0505 eV per atom



The following is a DFT calculation (GGA-PBE) of crystalline KLaBAu at its relaxed geometry.

The structure in extended XYZ format:
```
4
Lattice="1.907 -2.814 3.871 -2.539 -0.282 4.473 -2.314 -4.392 1.375" Properties=species:S:1:pos:R:3 pbc="T T T"
Au -2.210 -5.616 7.289
B -0.737 -1.872 2.430
K 0.000 0.000 0.000
La -1.473 -3.744 4.860
```

energy above the most stable polymorph in this dataset = 0.0000 eV per atom